[1]
The following is a PBE calculation of CsCdCl3 after structural relaxation, from Alexandria.

Properties
ΔE_f (raw) (eV per atom): -1.467
DOS at the Fermi energy (states/eV/cell): 0.00
Calculated volume (Å³ per cell): 745.69
E_tot (eV per atom): -2.929
M_tot (μB per formula unit): 0.00

abc: 13.9676 10.3795 5.1435
angles: 90.00 90.05 90.00
Last column: nearest neighbours and their distance in Å.
Space group C2/m (No. 12)
Inequivalent atoms, fractional coordinates:
Cs 0.2165 0.0000 0.2360 [4 per cell]  8 Cl 3.58-3.77
Cd 0.0000 0.3219 0.5000 [4 per cell]  4 Cl 2.45-2.59
Cl 0.0967 0.5000 0.2638 [4 per cell]  2 Cd 2.59
Cl 0.1251 0.2063 0.7377 [8 per cell]  1 Cd 2.45

***

[2]
The following is a PBE calculation of CsCd2Cl6 after structural relaxation, from Alexandria.

Properties
ΔE_f (raw) (eV per atom): -1.069
DOS at the Fermi energy (states/eV/cell): 1.66
Calculated volume (Å³ per cell): 626.59
E_tot (eV per atom): -2.598
M_tot (μB per formula unit): 1.02

abc: 12.6241 6.0376 10.1188
angles: 90.00 125.67 90.00
Last column: nearest neighbours and their distance in Å.
Space group C2/m (No. 12)
Inequivalent atoms, fractional coordinates:
Cs 0.0000 0.0000 0.0000 [2 per cell]  6 Cl 3.34-3.47
Cd 0.1803 0.0000 0.5723 [4 per cell]  4 Cl 2.52-2.63
Cl 0.0527 0.0000 0.7001 [4 per cell]  2 Cd 2.59-2.61
Cl 0.1387 0.5000 0.1119 [4 per cell]  1 Cd 2.63, 1 Cl 2.85
Cl 0.2027 0.5000 0.5613 [4 per cell]  1 Cd 2.52

***

[3]
The following is a PBE calculation of CsCd4Cl8 after structural relaxation, from Alexandria.

Properties
E above lowest polymorph (eV/atom): 0.000
ΔE_f (raw) (eV per atom): -1.052
DOS at the Fermi energy (states/eV/cell): 12.94
Calculated volume (Å³ per cell): 1746.98
E_tot (eV per atom): -2.536
M_tot (μB per formula unit): 0.00

abc: 12.0438 12.0438 12.0438
angles: 90.00 90.00 90.00
Last column: nearest neighbours and their distance in Å.
Space group F-43m (No. 216)
Inequivalent atoms, fractional coordinates:
Cs 0.0000 0.0000 0.0000 [4 per cell]  4 Cl 3.15
Cd 0.1211 0.1211 0.6211 [16 per cell]  6 Cl 2.76-2.79
Cl 0.1069 0.1069 0.3931 [16 per cell]  3 Cd 2.76
Cl 0.1508 0.1508 0.8492 [16 per cell]  3 Cd 2.79

***

[4]
The following is a PBE calculation of Cs3CdCl6 after structural relaxation, from Alexandria.

Properties
E above lowest polymorph (eV/atom): 0.000
ΔE_f (raw) (eV per atom): -1.497
DOS at the Fermi energy (states/eV/cell): 5.56
Calculated volume (Å³ per cell): 1643.34
E_tot (eV per atom): -2.953
M_tot (μB per formula unit): 0.00

abc: 15.1925 19.6384 5.5080
angles: 90.00 90.00 90.00
Last column: nearest neighbours and their distance in Å.
Space group Cmc2_1 (No. 36)
Inequivalent atoms, fractional coordinates:
Cs 0.0000 0.1150 0.0000 [4 per cell]  7 Cl 3.38-3.72
Cs 0.1819 0.3804 0.9853 [8 per cell]  5 Cl 3.36-3.69
Cd 0.0000 0.2876 0.4380 [4 per cell]  4 Cl 2.50-2.62
Cl 0.0000 0.2852 0.9133 [4 per cell]  2 Cd 2.62-2.89
Cl 0.0000 0.4147 0.4123 [4 per cell]  1 Cd 2.50
Cl 0.1409 0.2231 0.3944 [8 per cell]  1 Cd 2.50
Cl 0.1636 0.0006 0.7429 [8 per cell]  2 Cl 2.75

***

[5]
The following is a PBE calculation of Cs4Cd3Cl10 after structural relaxation, from Alexandria.

Properties
ΔE_f (raw) (eV per atom): -1.545
DOS at the Fermi energy (states/eV/cell): 0.00
Calculated volume (Å³ per cell): 1091.60
E_tot (eV per atom): -2.993
M_tot (μB per formula unit): 0.00

abc: 5.3418 5.3418 38.2546
angles: 90.00 90.00 90.00
Last column: nearest neighbours and their distance in Å.
Space group I4/mmm (No. 139)
Inequivalent atoms, fractional coordinates:
Cs 0.0000 0.0000 0.0680 [4 per cell]  12 Cl 3.73-3.78
Cs 0.0000 0.0000 0.2001 [4 per cell]  9 Cl 3.53-3.79
Cd 0.0000 0.0000 0.3603 [4 per cell]  6 Cl 2.60-2.70
Cd 0.0000 0.0000 0.5000 [2 per cell]  6 Cl 2.65-2.67
Cl 0.0000 0.0000 0.2924 [4 per cell]  1 Cd 2.60
Cl 0.0000 0.0000 0.4308 [4 per cell]  2 Cd 2.65-2.70
Cl 0.0000 0.5000 0.0000 [4 per cell]  2 Cd 2.67
Cl 0.0000 0.5000 0.1369 [8 per cell]  2 Cd 2.67

***

[6]
The following is a PBE calculation of Cs3CdCl after structural relaxation, from Alexandria.

Properties
E above lowest polymorph (eV/atom): 0.000
ΔE_f (raw) (eV per atom): -0.709
DOS at the Fermi energy (states/eV/cell): 4.14
Calculated volume (Å³ per cell): 312.99
E_tot (eV per atom): -1.773
M_tot (μB per formula unit): 0.00

abc: 6.7896 6.7896 6.7896
angles: 90.00 90.00 90.00
Last column: nearest neighbours and their distance in Å.
Space group Pm-3m (No. 221)
Inequivalent atoms, fractional coordinates:
Cs 0.0000 0.0000 0.5000 [3 per cell]  2 Cl 3.39
Cd 0.5000 0.5000 0.5000 [1 per cell]  12 Cs 4.80
Cl 0.0000 0.0000 0.0000 [1 per cell]  6 Cs 3.39

***

[7]
The following is a PBE calculation of Cs2Cd3Cl8 after structural relaxation, from Alexandria.

Properties
ΔE_f (raw) (eV per atom): -1.388
DOS at the Fermi energy (states/eV/cell): 0.00
Calculated volume (Å³ per cell): 887.26
E_tot (eV per atom): -2.867
M_tot (μB per formula unit): 0.00

abc: 16.5262 8.0403 7.0028
angles: 90.00 107.54 90.00
Last column: nearest neighbours and their distance in Å.
Space group C2/m (No. 12)
Inequivalent atoms, fractional coordinates:
Cs 0.2322 0.0000 0.1775 [4 per cell]  6 Cl 3.39-3.59
Cd 0.0000 0.2428 0.5000 [4 per cell]  6 Cl 2.65-2.79
Cd 0.0000 0.5000 0.0000 [2 per cell]  6 Cl 2.63-2.75
Cl 0.0901 0.2739 0.8835 [8 per cell]  2 Cd 2.63-2.66
Cl 0.0923 0.5000 0.3983 [4 per cell]  3 Cd 2.75-2.79
Cl 0.1050 0.0000 0.4771 [4 per cell]  2 Cd 2.65

***

[8]
The following is a PBE calculation of CsCd6Cl12 after structural relaxation, from Alexandria.

Properties
ΔE_f (raw) (eV per atom): -0.940
DOS at the Fermi energy (states/eV/cell): 7.80
Calculated volume (Å³ per cell): 1644.44
E_tot (eV per atom): -2.440
M_tot (μB per formula unit): 0.00

abc: 14.5325 14.5325 8.9910
angles: 90.00 90.00 120.00
Last column: nearest neighbours and their distance in Å.
Space group R-3m (No. 166, hexagonal axes)
Inequivalent atoms, fractional coordinates:
Cs 0.0000 0.0000 0.0000 [3 per cell]  6 Cl 3.94
Cd 0.0892 0.5446 0.3070 [18 per cell]  5 Cl 2.64-2.77
Cl 0.0000 0.3874 0.5000 [18 per cell]  2 Cd 2.64
Cl 0.0922 0.1844 0.3545 [18 per cell]  3 Cd 2.68-2.77